Record 1
Material: Zr4Ga2N
Method: DFT, PBE
State: optimized geometry

abc: 5.7466 6.0566 8.3399
angles: 90.00 109.39 90.00
Closest atoms and distances in Å follow each position.
Fractional positions:
Zr: 0.0586 0.0084 0.3025  1 N 2.08
Zr: 0.0586 0.4916 0.3025  1 N 2.08
Zr: 0.3495 0.2500 0.0533  1 N 2.04
Zr: 0.4331 0.2500 0.6626  1 N 2.07
Zr: 0.5669 0.7500 0.3374  1 N 2.07
Zr: 0.6505 0.7500 0.9467  1 N 2.04
Zr: 0.9414 0.5084 0.6975  1 N 2.08
Zr: 0.9414 0.9916 0.6975  1 N 2.08
Ga: 0.1935 0.7500 0.0207  7 Zr 2.80-3.13, 1 N 3.05
Ga: 0.3506 0.7500 0.6009  8 Zr 2.83-3.10
Ga: 0.6494 0.2500 0.3991  8 Zr 2.83-3.10
Ga: 0.8065 0.2500 0.9793  7 Zr 2.80-3.13, 1 N 3.05
N: 0.1855 0.2500 0.7954  4 Zr 2.04-2.08
N: 0.8145 0.7500 0.2046  4 Zr 2.04-2.08

Computed properties:
* space-group type: No. 11
* total magnetization: 0.00 Bohr magnetons per cell
* total DFT energy (no corrections): -106.238 eV/cell
* uncorrected formation energy: -439 kJ/mol of formula units

Record 2
Material: BiIF2
Method: DFT, PBE
State: optimized geometry

abc: 10.9296 10.9296 10.9296
angles: 17.79 17.79 17.79
Closest atoms and distances in Å follow each position.
Fractional positions:
Bi: 0.0000 0.0000 0.0000  6 F 2.52
I: 0.5000 0.5000 0.5000  6 I 3.38
F: 0.3827 0.3827 0.3827  3 Bi 2.52
F: 0.6173 0.6173 0.6173  3 Bi 2.52

Computed properties:
* space-group type: No. 166
* total magnetization: 0.00 Bohr magnetons per cell
* total DFT energy (no corrections): -13.686 eV/cell
* uncorrected formation energy: -435 kJ/mol of formula units

Record 3
Material: Cs5IO6
Method: DFT, PBE
State: optimized geometry

abc: 7.1922 7.1922 6.8540
angles: 99.74 99.74 120.26
Closest atoms and distances in Å follow each position.
Fractional positions:
Cs: 0.0000 0.0000 0.0000  4 O 2.99
Cs: 0.1678 0.8322 0.5000  6 O 3.08-3.12
Cs: 0.3392 0.6608 0.0000  4 O 2.91-2.96
Cs: 0.6608 0.3392 0.0000  4 O 2.91-2.96
Cs: 0.8322 0.1678 0.5000  6 O 3.08-3.12
I: 0.5000 0.5000 0.5000  6 O 1.94-1.95
O: 0.2216 0.4411 0.3272  1 I 1.94
O: 0.3386 0.3386 0.6790  1 I 1.95
O: 0.4411 0.2216 0.3272  1 I 1.94
O: 0.5589 0.7784 0.6728  1 I 1.94
O: 0.6614 0.6614 0.3210  1 I 1.95
O: 0.7784 0.5589 0.6728  1 I 1.94

Computed properties:
* space-group type: No. 12
* total magnetization: 0.00 Bohr magnetons per cell
* total DFT energy (no corrections): -49.016 eV/cell
* uncorrected formation energy: -1298 kJ/mol of formula units

Record 4
Material: ZnCrOs
Method: DFT, PBE
State: optimized geometry

abc: 4.0473 4.0473 4.0473
angles: 60.00 60.00 60.00
Closest atoms and distances in Å follow each position.
Fractional positions:
Zn: 0.0000 0.0000 0.0000  4 Cr 2.48
Cr: 0.7500 0.7500 0.7500  4 Os 2.48, 4 Zn 2.48
Os: 0.5000 0.5000 0.5000  4 Cr 2.48

Computed properties:
* space-group type: No. 216
* total magnetization: 1.63 Bohr magnetons per cell
* total DFT energy (no corrections): -20.581 eV/cell
* formation energy from the elements: 515 meV per atom

Record 5
Material: SrUGa4
Method: DFT, PBE
State: optimized geometry

abc: 5.6420 5.6420 5.6420
angles: 60.00 60.00 60.00
Closest atoms and distances in Å follow each position.
Fractional positions:
Sr: 0.0000 0.0000 0.0000  12 Ga 3.31, 4 U 3.45
U: 0.7500 0.7500 0.7500  12 Ga 3.31, 4 Sr 3.45
Ga: 0.3760 0.3760 0.3760  6 Ga 2.80-2.84
Ga: 0.3760 0.3760 0.8720  6 Ga 2.80-2.84
Ga: 0.3760 0.8720 0.3760  6 Ga 2.80-2.84
Ga: 0.8720 0.3760 0.3760  6 Ga 2.80-2.84

Computed properties:
* space-group type: No. 216
* total magnetization: 2.95 Bohr magnetons per cell
* total DFT energy (no corrections): -25.826 eV/cell
* formation energy from the elements: -125 meV per atom

Record 6
Material: Ca4PuSe5
Method: DFT, PBE
State: optimized geometry

abc: 15.2307 15.2307 15.2307
angles: 164.16 164.16 22.47
Closest atoms and distances in Å follow each position.
Fractional positions:
Ca: 0.1005 0.1005 0.0000  6 Se 2.97-3.00
Ca: 0.2998 0.2998 0.0000  6 Se 2.97-2.99
Ca: 0.7002 0.7002 0.0000  6 Se 2.97-2.99
Ca: 0.8995 0.8995 0.0000  6 Se 2.97-3.00
Pu: 0.5000 0.5000 0.0000  6 Se 2.97-3.00
Se: 0.0000 0.0000 0.0000  4 Pu 2.97, 2 Ca 3.00
Se: 0.2000 0.2000 0.0000  6 Ca 2.97-2.98
Se: 0.3997 0.3997 0.0000  5 Ca 2.97-2.99, 1 Pu 3.00
Se: 0.6003 0.6003 0.0000  5 Ca 2.97-2.99, 1 Pu 3.00
Se: 0.8000 0.8000 0.0000  6 Ca 2.97-2.98

Computed properties:
* space-group type: No. 139
* total magnetization: 5.96 Bohr magnetons per cell
* total DFT energy (no corrections): -58.818 eV/cell
* uncorrected formation energy: -1839 kJ/mol of formula units

Record 7
Material: AgSbTe2Pd
Method: DFT, PBE
State: optimized geometry

abc: 5.4305 5.4305 5.0821
angles: 90.00 90.00 90.00
Closest atoms and distances in Å follow each position.
Fractional positions:
Ag: 0.0000 0.0000 0.0000  8 Te 3.72, 4 Sb 3.84
Sb: 0.5000 0.5000 0.0000  2 Pd 2.54
Te: 0.0000 0.5000 0.5000  2 Pd 2.72
Te: 0.5000 0.0000 0.5000  2 Pd 2.72
Pd: 0.5000 0.5000 0.5000  2 Sb 2.54, 4 Te 2.72

Computed properties:
* space-group type: No. 123
* total magnetization: 0.00 Bohr magnetons per cell
* total DFT energy (no corrections): -16.418 eV/cell
* uncorrected formation energy: 196 kJ/mol of formula units

Record 8
Material: Ba12Zn3Ni5
Method: DFT, PBE
State: optimized geometry

abc: 16.5204 16.5204 16.5204
angles: 109.47 109.47 109.47
Closest atoms and distances in Å follow each position.
Fractional positions:
Ba: 0.0290 0.2081 0.1201  2 Ni 2.87-3.12
Ba: 0.0290 0.3209 0.9089  2 Ni 2.87-3.12
Ba: 0.0880 0.7081 0.6791  2 Ni 2.87-3.12
Ba: 0.0880 0.8799 0.4089  2 Ni 2.87-3.12
Ba: 0.0911 0.6201 0.4120  2 Ni 2.87-3.12
Ba: 0.0911 0.9710 0.6791  2 Ni 2.87-3.12
Ba: 0.1201 0.0290 0.2081  2 Ni 2.87-3.12
Ba: 0.1201 0.5911 0.9120  2 Ni 2.87-3.12
Ba: 0.1791 0.2081 0.5880  2 Ni 2.87-3.12
Ba: 0.1791 0.4710 0.5911  2 Ni 2.87-3.12
Ba: 0.2081 0.1201 0.0290  2 Ni 2.87-3.12
Ba: 0.2081 0.5880 0.1791  2 Ni 2.87-3.12
Ba: 0.2919 0.3209 0.9120  2 Ni 2.87-3.12
Ba: 0.2919 0.4710 0.3799  2 Ni 2.87-3.12
Ba: 0.3209 0.9089 0.0290  2 Ni 2.87-3.12
Ba: 0.3209 0.9120 0.2919  2 Ni 2.87-3.12
Ba: 0.3799 0.2919 0.4710  2 Ni 2.87-3.12
Ba: 0.3799 0.5880 0.9089  2 Ni 2.87-3.12
Ba: 0.4089 0.0880 0.8799  2 Ni 2.87-3.12
Ba: 0.4089 0.8209 0.5290  2 Ni 2.87-3.12
Ba: 0.4120 0.0911 0.6201  2 Ni 2.87-3.12
Ba: 0.4120 0.8209 0.7919  2 Ni 2.87-3.12
Ba: 0.4710 0.3799 0.2919  2 Ni 2.87-3.12
Ba: 0.4710 0.5911 0.1791  2 Ni 2.87-3.12
Ba: 0.5290 0.4089 0.8209  2 Ni 2.87-3.12
Ba: 0.5290 0.6201 0.7081  2 Ni 2.87-3.12
Ba: 0.5880 0.1791 0.2081  2 Ni 2.87-3.12
Ba: 0.5880 0.9089 0.3799  2 Ni 2.87-3.12
Ba: 0.5911 0.1791 0.4710  2 Ni 2.87-3.12
Ba: 0.5911 0.9120 0.1201  2 Ni 2.87-3.12
Ba: 0.6201 0.4120 0.0911  2 Ni 2.87-3.12
Ba: 0.6201 0.7081 0.5290  2 Ni 2.87-3.12
Ba: 0.6791 0.0880 0.7081  2 Ni 2.87-3.12
Ba: 0.6791 0.0911 0.9710  2 Ni 2.87-3.12
Ba: 0.7081 0.5290 0.6201  2 Ni 2.87-3.12
Ba: 0.7081 0.6791 0.0880  2 Ni 2.87-3.12
Ba: 0.7919 0.4120 0.8209  2 Ni 2.87-3.12
Ba: 0.7919 0.8799 0.9710  2 Ni 2.87-3.12
Ba: 0.8209 0.5290 0.4089  2 Ni 2.87-3.12
Ba: 0.8209 0.7919 0.4120  2 Ni 2.87-3.12
Ba: 0.8799 0.4089 0.0880  2 Ni 2.87-3.12
Ba: 0.8799 0.9710 0.7919  2 Ni 2.87-3.12
Ba: 0.9089 0.0290 0.3209  2 Ni 2.87-3.12
Ba: 0.9089 0.3799 0.5880  2 Ni 2.87-3.12
Ba: 0.9120 0.1201 0.5911  2 Ni 2.87-3.12
Ba: 0.9120 0.2919 0.3209  2 Ni 2.87-3.12
Ba: 0.9710 0.6791 0.0911  2 Ni 2.87-3.12
Ba: 0.9710 0.7919 0.8799  2 Ni 2.87-3.12
Zn: 0.1250 0.2500 0.3750  8 Ba 3.69-3.73
Zn: 0.1250 0.3750 0.7500  8 Ba 3.69-3.73
Zn: 0.2500 0.3750 0.1250  8 Ba 3.69-3.73
Zn: 0.2500 0.8750 0.6250  8 Ba 3.69-3.73
Zn: 0.3750 0.1250 0.2500  8 Ba 3.69-3.73
Zn: 0.3750 0.7500 0.1250  8 Ba 3.69-3.73
Zn: 0.6250 0.2500 0.8750  8 Ba 3.69-3.73
Zn: 0.6250 0.8750 0.7500  8 Ba 3.69-3.73
Zn: 0.7500 0.1250 0.3750  8 Ba 3.69-3.73
Zn: 0.7500 0.6250 0.8750  8 Ba 3.69-3.73
Zn: 0.8750 0.6250 0.2500  8 Ba 3.69-3.73
Zn: 0.8750 0.7500 0.6250  8 Ba 3.69-3.73
Ni: 0.0000 0.0000 0.0000  6 Ba 3.12
Ni: 0.0000 0.0000 0.5000  6 Ba 3.12
Ni: 0.0000 0.5000 0.0000  6 Ba 3.12
Ni: 0.0000 0.5000 0.5000  6 Ba 3.12
Ni: 0.1250 0.7500 0.8750  4 Ba 2.87
Ni: 0.1250 0.8750 0.2500  4 Ba 2.87
Ni: 0.2500 0.1250 0.8750  4 Ba 2.87
Ni: 0.2500 0.6250 0.3750  4 Ba 2.87
Ni: 0.3750 0.2500 0.6250  4 Ba 2.87
Ni: 0.3750 0.6250 0.7500  4 Ba 2.87
Ni: 0.5000 0.0000 0.0000  6 Ba 3.12
Ni: 0.5000 0.0000 0.5000  6 Ba 3.12
Ni: 0.5000 0.5000 0.0000  6 Ba 3.12
Ni: 0.5000 0.5000 0.5000  6 Ba 3.12
Ni: 0.6250 0.3750 0.2500  4 Ba 2.87
Ni: 0.6250 0.7500 0.3750  4 Ba 2.87
Ni: 0.7500 0.3750 0.6250  4 Ba 2.87
Ni: 0.7500 0.8750 0.1250  4 Ba 2.87
Ni: 0.8750 0.1250 0.7500  4 Ba 2.87
Ni: 0.8750 0.2500 0.1250  4 Ba 2.87

Computed properties:
* space-group type: No. 230
* total magnetization: 0.00 Bohr magnetons per cell
* total DFT energy (no corrections): -210.162 eV/cell
* formation energy from the elements: 163 meV per atom

Record 9
Material: NdHoTl6
Method: DFT, PBE
State: optimized geometry

abc: 4.8000 4.8000 9.5911
angles: 90.00 90.00 90.00
Closest atoms and distances in Å follow each position.
Fractional positions:
Nd: 0.0000 0.0000 0.0000  12 Tl 3.39-3.42
Ho: 0.0000 0.0000 0.5000  12 Tl 3.36-3.39
Tl: 0.0000 0.5000 0.2543  8 Tl 3.36-3.42, 2 Ho 3.36, 2 Nd 3.42
Tl: 0.0000 0.5000 0.7457  8 Tl 3.36-3.42, 2 Ho 3.36, 2 Nd 3.42
Tl: 0.5000 0.0000 0.2543  8 Tl 3.36-3.42, 2 Ho 3.36, 2 Nd 3.42
Tl: 0.5000 0.0000 0.7457  8 Tl 3.36-3.42, 2 Ho 3.36, 2 Nd 3.42
Tl: 0.5000 0.5000 0.0000  4 Nd 3.39, 8 Tl 3.42
Tl: 0.5000 0.5000 0.5000  8 Tl 3.36, 4 Ho 3.39

Computed properties:
* space-group type: No. 123
* total magnetization: 0.00 Bohr magnetons per cell
* total DFT energy (no corrections): -25.684 eV/cell
* formation energy from the elements: -268 meV per atom

Record 10
Material: LaMgPdN2
Method: DFT, PBE
State: optimized geometry

abc: 4.3818 4.3818 4.3129
angles: 90.00 90.00 90.00
Closest atoms and distances in Å follow each position.
Fractional positions:
La: 0.0000 0.0000 0.0000  8 N 3.07, 4 Mg 3.10
Mg: 0.5000 0.5000 0.0000  2 Pd 2.16
Pd: 0.5000 0.5000 0.5000  2 Mg 2.16, 4 N 2.19
N: 0.0000 0.5000 0.5000  2 Pd 2.19
N: 0.5000 0.0000 0.5000  2 Pd 2.19

Computed properties:
* space-group type: No. 123
* total magnetization: 0.00 Bohr magnetons per cell
* total DFT energy (no corrections): -24.821 eV/cell
* uncorrected formation energy: 342 kJ/mol of formula units

Record 11
Material: K2LaF6
Method: DFT, PBE
State: optimized geometry

abc: 7.5191 7.5191 4.1958
angles: 106.08 106.08 48.95
Closest atoms and distances in Å follow each position.
Fractional positions:
K: 0.1695 0.1695 0.1689  8 F 2.72-2.84
K: 0.8305 0.8305 0.8311  8 F 2.72-2.84
La: 0.5000 0.5000 0.5000  8 F 2.39-2.49
F: 0.1257 0.5781 0.3524  1 La 2.39
F: 0.2854 0.7146 0.0000  2 La 2.49, 1 F 2.67
F: 0.4219 0.8743 0.6476  1 La 2.39
F: 0.5781 0.1257 0.3524  1 La 2.39
F: 0.7146 0.2854 0.0000  2 La 2.49, 1 F 2.67
F: 0.8743 0.4219 0.6476  1 La 2.39

Computed properties:
* space-group type: No. 12
* total magnetization: 1.10 Bohr magnetons per cell
* total DFT energy (no corrections): -46.146 eV/cell
* uncorrected formation energy: -2682 kJ/mol of formula units

Record 12
Material: PbSeBr2
Method: DFT, PBE
State: optimized geometry

abc: 10.1148 10.1148 10.1148
angles: 24.43 24.43 24.43
Closest atoms and distances in Å follow each position.
Fractional positions:
Pb: 0.0000 0.0000 0.0000  6 Br 3.05
Se: 0.5000 0.5000 0.5000  6 Br 3.97, 6 Se 4.28
Br: 0.2724 0.2724 0.2724  3 Pb 3.05
Br: 0.7276 0.7276 0.7276  3 Pb 3.05

Computed properties:
* space-group type: No. 166
* total magnetization: 2.00 Bohr magnetons per cell
* total DFT energy (no corrections): -10.996 eV/cell
* uncorrected formation energy: -44 kJ/mol of formula units

Question: The highest total magnetization belongs to which entry?
Answer: Ca4PuSe5

Question: What is the formula in the tenth record?
Answer: LaMgPdN2

Question: Among the records above, which one has the lowest total DFT energy (no corrections)?
Answer: Ba12Zn3Ni5